## BaGaIO2 (PBE)

Data for a relaxed structure of BaGaIO2.

Summary:
V = 105 Å³ per cell
spin magnetization = 0.01 μB/f.u.
E_tot = -4.297 eV per atom
ΔE_f (raw) = -1.014 eV per atom
relative energy among the computed polymorphs = 0 meV/atom

Cell and atoms, written as CIF:
```
data_BaGaIO2
_cell_length_a 4.457
_cell_length_b 4.457
_cell_length_c 5.281
_cell_angle_alpha 90.00
_cell_angle_beta 90.00
_cell_angle_gamma 90.00
_space_group_name_H-M_alt 'P 4/m m m'
_space_group_IT_number 123
_space_group_name_Hall '-P 4 2'
loop_
_atom_site_label
_atom_site_type_symbol
_atom_site_fract_x
_atom_site_fract_y
_atom_site_fract_z
_atom_site_occupancy
Ba1 Ba 0.000 0.000 0.000 1
Ga1 Ga 0.500 0.500 0.500 1
I1 I 0.500 0.500 0.000 1
O1 O 0.000 0.500 0.500 1
```